First-principles (GGA-PBE) data for a relaxed CaPmSi3 crystal, as listed in Alexandria via LeMat-Bulk.

Cell lengths 3.954, 4.431, 12.635 Å; angles 100.10, 90.00, 90.00 degrees
Atoms (fractional coordinates):
Ca (0.250, 0.071, 0.142)
Ca (0.750, 0.929, 0.858)
Pm (0.250, 0.798, 0.595)
Pm (0.750, 0.202, 0.405)
Si (0.750, 0.524, 0.048)
Si (0.250, 0.676, 0.351)
Si (0.750, 0.324, 0.649)
Si (0.750, 0.619, 0.238)
Si (0.250, 0.476, 0.952)
Si (0.250, 0.381, 0.762)

**Uncorrected formation energy**: -0.527 eV per atom
**ΔE to the lowest computed polymorph**: 34 meV per atom
**Mass density**: 4.10 g cm⁻³

First-principles (GGA-PBE) data for a relaxed CaPm12Si6 crystal, as listed in Alexandria via LeMat-Bulk.

Cell lengths 8.704, 8.704, 8.704 Å; angles 103.57, 103.57, 103.57 degrees
Atoms (fractional coordinates):
Pm (0.550, 0.550, 0.820)
Pm (0.500, 0.127, 0.873)
Pm (0.500, 0.873, 0.127)
Pm (0.820, 0.550, 0.550)
Pm (0.127, 0.500, 0.873)
Pm (0.180, 0.450, 0.450)
Pm (0.873, 0.127, 0.500)
Pm (0.450, 0.450, 0.180)
Pm (0.873, 0.500, 0.127)
Pm (0.550, 0.820, 0.550)
Pm (0.450, 0.180, 0.450)
Pm (0.127, 0.873, 0.500)
Si (0.685, 0.246, 0.246)
Si (0.246, 0.685, 0.246)
Si (0.754, 0.315, 0.754)
Si (0.315, 0.754, 0.754)
Si (0.754, 0.754, 0.315)
Si (0.246, 0.246, 0.685)
Ca (0.000, 0.000, 0.000)

**Uncorrected formation energy**: -0.351 eV per atom
**Mass density**: 5.46 g cm⁻³

First-principles (GGA-PBE) data for a relaxed CaPm2Si crystal, as listed in Alexandria via LeMat-Bulk.

Cell lengths 4.628, 4.845, 4.845 Å; angles 90.00, 90.00, 90.00 degrees
Atoms (fractional coordinates):
Pm (0.000, 0.000, 0.500)
Pm (0.000, 0.500, 0.000)
Si (0.500, 0.000, 0.000)
Ca (0.500, 0.500, 0.500)

**Uncorrected formation energy**: -0.183 eV per atom
**ΔE to the lowest computed polymorph**: 15 meV per atom
**Mass density**: 5.47 g cm⁻³

First-principles (GGA-PBE) data for a relaxed CaPmSi3 crystal, as listed in Alexandria via LeMat-Bulk.

Cell lengths 3.960, 4.329, 12.712 Å; angles 99.80, 90.00, 90.00 degrees
Atoms (fractional coordinates):
Si (0.250, 0.673, 0.346)
Si (0.750, 0.618, 0.236)
Si (0.250, 0.382, 0.764)
Si (0.250, 0.476, 0.952)
Si (0.750, 0.327, 0.654)
Si (0.750, 0.524, 0.048)
Ca (0.750, 0.203, 0.406)
Ca (0.250, 0.797, 0.594)
Pm (0.750, 0.930, 0.861)
Pm (0.250, 0.070, 0.139)

**Uncorrected formation energy**: -0.561 eV per atom
**ΔE to the lowest computed polymorph**: 0 meV per atom
**Mass density**: 4.17 g cm⁻³

First-principles (GGA-PBE) data for a relaxed CaPm6Si4 crystal, as listed in Alexandria via LeMat-Bulk.

Cell lengths 4.131, 9.230, 9.230 Å; angles 120.00, 90.00, 90.00 degrees
Site moments in Bohr magnetons follow the coordinates.
Atoms (fractional coordinates):
Pm (0.000, 0.919, 0.459)  0.09
Pm (0.000, 0.541, 0.459)  0.09
Pm (0.500, 0.610, 0.805)  0.07
Pm (0.500, 0.195, 0.805)  0.07
Pm (0.500, 0.195, 0.390)  0.07
Pm (0.000, 0.541, 0.081)  0.09
Si (0.500, 0.340, 0.170)  -0.01
Si (0.000, 0.333, 0.667)  -0.01
Si (0.500, 0.830, 0.660)  -0.01
Si (0.500, 0.830, 0.170)  -0.01
Ca (0.000, 0.000, 0.000)  0.01

**Uncorrected formation energy**: -0.410 eV per atom
**Mass density**: 5.57 g cm⁻³

First-principles (GGA-PBE) data for a relaxed CaPm2Si crystal, as listed in Alexandria via LeMat-Bulk.

Cell lengths 5.332, 5.332, 5.332 Å; angles 60.00, 60.00, 60.00 degrees
Atoms (fractional coordinates):
Pm (0.750, 0.750, 0.750)
Pm (0.250, 0.250, 0.250)
Ca (0.000, 0.000, 0.000)
Si (0.500, 0.500, 0.500)

**Uncorrected formation energy**: -0.062 eV per atom
**ΔE to the lowest computed polymorph**: 136 meV per atom
**Mass density**: 5.55 g cm⁻³

First-principles (GGA-PBE) data for a relaxed CaPmSi4 crystal, as listed in Alexandria via LeMat-Bulk.

Cell lengths 4.155, 4.155, 7.647 Å; angles 105.76, 105.76, 90.00 degrees
Atoms (fractional coordinates):
Si (0.667, 0.167, 0.334)
Si (0.583, 0.583, 0.167)
Si (0.833, 0.333, 0.666)
Si (0.417, 0.417, 0.833)
Ca (0.000, 0.000, 0.000)
Pm (0.250, 0.750, 0.500)

**Uncorrected formation energy**: -0.473 eV per atom
**ΔE to the lowest computed polymorph**: 0 meV per atom
**Mass density**: 4.05 g cm⁻³

First-principles (GGA-PBE) data for a relaxed CaPm4Si2 crystal, as listed in Alexandria via LeMat-Bulk.

Cell lengths 4.211, 9.841, 9.841 Å; angles 90.00, 90.00, 90.00 degrees
Atoms (fractional coordinates):
Pm (0.000, 0.891, 0.666)
Pm (0.500, 0.391, 0.834)
Pm (0.000, 0.334, 0.109)
Pm (0.500, 0.166, 0.609)
Pm (0.000, 0.109, 0.334)
Pm (0.500, 0.609, 0.166)
Pm (0.500, 0.834, 0.391)
Pm (0.000, 0.666, 0.891)
Ca (0.500, 0.000, 0.000)
Ca (0.000, 0.500, 0.500)
Si (0.000, 0.170, 0.830)
Si (0.000, 0.830, 0.170)
Si (0.500, 0.330, 0.330)
Si (0.500, 0.670, 0.670)

**Uncorrected formation energy**: -0.304 eV per atom
**Mass density**: 5.51 g cm⁻³

Question: Which value of mass density does entry 4 give?
Answer: 4.17 g cm⁻³

Question: What is the mass density in the seventh record?
Answer: 4.05 g cm⁻³